A relaxed structure of LaCdNO. Source: the Open Quantum Materials Database, functional PBE.

Unit cell a=3.9555 b=3.9555 c=8.3996 alpha=90.00 beta=90.00 gamma=90.00
Positions (direct):
1 La 0.2500 0.2500 0.1504
2 La 0.7500 0.7500 0.8496
3 Cd 0.2500 0.7500 0.5000
4 Cd 0.7500 0.2500 0.5000
5 N 0.2500 0.2500 0.6642
6 N 0.7500 0.7500 0.3358
7 O 0.2500 0.7500 0.0000
8 O 0.7500 0.2500 0.0000

- Polymorph energy (0 for the lowest one): 59 meV/atom